A plane-wave DFT calculation with PBE-GGA was carried out for a geometry-optimized CsFe2Cl structure.

abc: 5.371 5.371 5.371
angles: 60.00 60.00 60.00
Site moments in Bohr magnetons follow the coordinates.
Fractional coordinates of all 4 atoms:
Cs1 0.500 0.500 0.500  -0.09
Fe1 0.250 0.250 0.250  -3.37
Fe2 0.750 0.750 0.750  -3.37
Cl1 0.000 0.000 0.000  -0.14

Computed properties:
DOS(E_F) = 4.7 states/eV per cell
space group = No. 225
formation energy (no corrections) = 1341 meV per atom